(1)
The following is a DFT calculation (PBE) of crystalline GdGaCuNi at its relaxed geometry.

POSCAR file:
```
GdGaCuNi
1.0
0.000 3.216 3.216
3.216 0.000 3.216
3.216 3.216 0.000
Gd Ga Cu Ni
1 1 1 1
Cartesian
0.000 0.000 0.000
3.216 3.216 3.216
1.608 1.608 1.608
4.824 4.824 4.824
```

***

(2)
The following is a DFT calculation (PBE) of crystalline GdGaCuPd at its relaxed geometry.

POSCAR file:
```
GdGaCuPd
1.0
0.000 3.311 3.311
3.311 0.000 3.311
3.311 3.311 0.000
Gd Ga Cu Pd
1 1 1 1
Cartesian
0.000 0.000 0.000
3.311 3.311 3.311
1.656 1.656 1.656
4.967 4.967 4.967
```

***

DFT formation energy / eV per formula unit: -1.25, -1.99
N(E_F) / states/eV per atom: 0.93, 0.82